DFT (PBE) results for crystalline BaTaTi2Cr at its relaxed geometry.

For the formation energy from the elements, the calculation gives 17.92 kcal/mol of atoms. The magnetic moment is 0.00 μB per cell.

a = 4.8463 Å, b = 4.8463 Å, c = 4.7892 Å
α = 90.00°, β = 90.00°, γ = 90.00°
Space group P4/mmm (No. 123)
Symmetry-distinct sites (fractional):
Ba 0.0000 0.0000 0.0000 x1
Ta 0.5000 0.5000 0.0000 x1
Ti 0.0000 0.5000 0.5000 x2
Cr 0.5000 0.5000 0.5000 x1